This record from Alexandria via LeMat-Bulk describes crystalline Nb4B20Mo11 at its relaxed geometry. The functional is GGA-PBEsol.

Lattice parameters (Å, degrees): 34.7204 34.7204 34.7204 174.91 174.76 7.31
Sites, in units of the cell vectors:
Nb (0.0996, 0.0996, 0.0000)
Nb (0.3001, 0.3001, 0.0000)
Nb (0.6999, 0.6999, 0.0000)
Nb (0.9004, 0.9004, 0.0000)
B (0.0129, 0.0129, 0.0000)
B (0.0268, 0.5268, 0.5000)
B (0.1727, 0.6727, 0.5000)
B (0.1866, 0.1866, 0.0000)
B (0.2132, 0.2132, 0.0000)
B (0.2270, 0.7270, 0.5000)
B (0.3732, 0.8732, 0.5000)
B (0.3871, 0.3871, 0.0000)
B (0.4137, 0.4137, 0.0000)
B (0.4276, 0.9276, 0.5000)
B (0.5724, 0.0724, 0.5000)
B (0.5863, 0.5863, 0.0000)
B (0.6129, 0.6129, 0.0000)
B (0.6268, 0.1268, 0.5000)
B (0.7730, 0.2730, 0.5000)
B (0.7868, 0.7868, 0.0000)
B (0.8134, 0.8134, 0.0000)
B (0.8273, 0.3273, 0.5000)
B (0.9732, 0.4732, 0.5000)
B (0.9871, 0.9871, 0.0000)
Mo (0.0624, 0.5624, 0.5000)
Mo (0.1369, 0.6369, 0.5000)
Mo (0.2628, 0.7628, 0.5000)
Mo (0.3374, 0.8374, 0.5000)
Mo (0.4635, 0.9635, 0.5000)
Mo (0.5000, 0.5000, 0.0000)
Mo (0.5365, 0.0365, 0.5000)
Mo (0.6626, 0.1626, 0.5000)
Mo (0.7372, 0.2372, 0.5000)
Mo (0.8631, 0.3631, 0.5000)
Mo (0.9376, 0.4376, 0.5000)

Results
Total DFT energy (no corrections)   -9.567 eV per atom
Energy of formation from the pure elements   -0.62 eV per atom
Crystal system   orthorhombic